SmGaPt | PBEsol | optimized geometry

As for the calculated formation energy: -1.074 eV/atom. For the mass density, the calculation gives 11.7 g/cm³. The calculation puts the total magnetic moment at 0.000 Bohr magnetons per cell. The volume comes out at 58.8 Å³/f.u.

It has space group Pnma (No. 62), with a = 6.965 Å, b = 4.424 Å, c = 7.637 Å, α = 90.00°, β = 90.00° and γ = 90.00°. The inequivalent atoms are Sm at (0.017, 0.250, 0.197), Ga at (0.169, 0.250, 0.576) and Pt at (0.218, 0.750, 0.402).

---

SmGa3Pt | PBEsol | optimized geometry

As for the calculated formation energy: -0.757 eV/atom. For the mass density, the calculation gives 10.2 g/cm³. The calculation puts the total magnetic moment at 0.000 Bohr magnetons per cell. The volume comes out at 90.6 Å³/f.u.

It has space group I-4m2 (No. 119), with a = 4.105 Å, b = 4.105 Å, c = 10.749 Å, α = 90.00°, β = 90.00° and γ = 90.00°. The inequivalent atoms are Sm at (0.000, 0.000, 0.000), Ga at (0.000, 0.000, 0.388), Ga at (0.000, 0.500, 0.750) and Pt at (0.000, 0.500, 0.250).

---

Sr3GaPt | PBEsol | optimized geometry

As for the calculated formation energy: -0.266 eV/atom. The value obtained for the energy above the most stable polymorph in this dataset is 0 meV per atom. For the mass density, the calculation gives 4.6 g/cm³. The calculation puts the total magnetic moment at 0.000 Bohr magnetons per cell. The volume comes out at 189.1 Å³/f.u.

It has space group Pm-3m (No. 221), with a = 5.740 Å, b = 5.740 Å, c = 5.740 Å, α = 90.00°, β = 90.00° and γ = 90.00°. The inequivalent atoms are Sr at (0.000, 0.000, 0.500), Ga at (0.500, 0.500, 0.500) and Pt at (0.000, 0.000, 0.000).

---

TaGa2Pt | PBEsol | optimized geometry

As for the calculated formation energy: -0.142 eV/atom. For the mass density, the calculation gives 13.9 g/cm³. The calculation puts the total magnetic moment at 0.763 Bohr magnetons per cell. The volume comes out at 61.4 Å³/f.u.

It has space group Fm-3m (No. 225), with a = 6.263 Å, b = 6.263 Å, c = 6.263 Å, α = 90.00°, β = 90.00° and γ = 90.00°. The inequivalent atoms are Ta at (0.000, 0.000, 0.000), Ga at (0.250, 0.250, 0.250) and Pt at (0.000, 0.000, 0.500).

---

TaGaPt3 | PBEsol | optimized geometry

As for the calculated formation energy: 0.977 eV/atom. For the mass density, the calculation gives 12.2 g/cm³. The calculation puts the total magnetic moment at 0.000 Bohr magnetons per cell. The volume comes out at 114.0 Å³/f.u.

It has space group Pm-3m (No. 221), with a = 4.848 Å, b = 4.848 Å, c = 4.848 Å, α = 90.00°, β = 90.00° and γ = 90.00°. The inequivalent atoms are Ta at (0.000, 0.000, 0.000), Ga at (0.500, 0.500, 0.500) and Pt at (0.000, 0.000, 0.500).

---

Tb4Ga12Pt | PBEsol | optimized geometry

As for the calculated formation energy: -0.692 eV/atom. For the mass density, the calculation gives 9.0 g/cm³. The calculation puts the total magnetic moment at 0.000 Bohr magnetons per cell. The volume comes out at 307.1 Å³/f.u.

It has space group Im-3m (No. 229), with a = 8.501 Å, b = 8.501 Å, c = 8.501 Å, α = 90.00°, β = 90.00° and γ = 90.00°. The inequivalent atoms are Tb at (0.250, 0.250, 0.250), Ga at (0.000, 0.000, 0.298), Ga at (0.000, 0.250, 0.500) and Pt at (0.000, 0.000, 0.000).

---

GaTePt3 | PBEsol | optimized geometry

As for the uncorrected formation energy: 46.5 kJ per mole of atoms. For the mass density, the calculation gives 13.3 g/cm³. The calculation puts the total magnetic moment at 0.000 Bohr magnetons per cell. The volume comes out at 98.0 Å³/f.u.

It has space group Pm-3m (No. 221), with a = 4.610 Å, b = 4.610 Å, c = 4.610 Å, α = 90.00°, β = 90.00° and γ = 90.00°. The inequivalent atoms are Ga at (0.000, 0.000, 0.000), Te at (0.500, 0.500, 0.500) and Pt at (0.000, 0.000, 0.500).

---

GaTe2Pt | PBEsol | optimized geometry

As for the uncorrected formation energy: -2.0 kJ per mole of atoms. For the mass density, the calculation gives 7.4 g/cm³. The calculation puts the total magnetic moment at 0.000 Bohr magnetons per cell. The volume comes out at 117.3 Å³/f.u.

It has space group R-3m (No. 166, hexagonal axes), with a = 3.8980 Å, b = 3.8980 Å, c = 26.7316 Å, α = 90.00°, β = 90.00° and γ = 120.00°. The inequivalent atoms are Ga at (0.0000, 0.0000, 0.0000), Te at (0.0000, 0.0000, 0.1132) and Pt at (0.0000, 0.0000, 0.5000).

---

Ti2GaPt2 | PBEsol | optimized geometry

As for the calculated formation energy: -0.768 eV/atom. For the mass density, the calculation gives 11.6 g/cm³. The calculation puts the total magnetic moment at 0.000 Bohr magnetons per cell. The volume comes out at 79.8 Å³/f.u.

It has space group P4/mbm (No. 127), with a = 7.222 Å, b = 7.222 Å, c = 3.059 Å, α = 90.00°, β = 90.00° and γ = 90.00°. The inequivalent atoms are Ti at (0.169, 0.331, 0.000), Ga at (0.000, 0.000, 0.500) and Pt at (0.132, 0.632, 0.500).

---

TiGaPt | PBEsol | optimized geometry

As for the calculated formation energy: -0.857 eV/atom. For the mass density, the calculation gives 11.7 g/cm³. The calculation puts the total magnetic moment at 0.001 Bohr magnetons per cell. The volume comes out at 44.6 Å³/f.u.

It has space group P6_3/mmc (No. 194), with a = 4.3735 Å, b = 4.3735 Å, c = 5.3803 Å, α = 90.00°, β = 90.00° and γ = 120.00°. The inequivalent atoms are Ti at (0.0000, 0.0000, 0.0000), Ga at (0.3333, 0.6667, 0.2500) and Pt at (0.3333, 0.6667, 0.7500).

---

Ti6Ga16Pt7 | PBEsol | optimized geometry

As for the calculated formation energy: -0.592 eV/atom. For the mass density, the calculation gives 10.2 g/cm³. The calculation puts the total magnetic moment at 0.004 Bohr magnetons per cell. The volume comes out at 450.3 Å³/f.u.

It has space group Fm-3m (No. 225), with a = 12.167 Å, b = 12.167 Å, c = 12.167 Å, α = 90.00°, β = 90.00° and γ = 90.00°. The inequivalent atoms are Ti at (0.000, 0.000, 0.208), Ga at (0.124, 0.124, 0.376), Ga at (0.144, 0.144, 0.144), Pt at (0.000, 0.000, 0.500) and Pt at (0.000, 0.250, 0.250).

---

TlGaPt3 | PBEsol | optimized geometry

As for the calculated formation energy: 1.413 eV/atom. For the mass density, the calculation gives 11.5 g/cm³. The calculation puts the total magnetic moment at 0.002 Bohr magnetons per cell. The volume comes out at 124.2 Å³/f.u.

It has space group Pm-3m (No. 221), with a = 4.989 Å, b = 4.989 Å, c = 4.989 Å, α = 90.00°, β = 90.00° and γ = 90.00°. The inequivalent atoms are Tl at (0.000, 0.000, 0.000), Ga at (0.500, 0.500, 0.500) and Pt at (0.000, 0.000, 0.500).